# Pm4BiPbSe2

An optimized crystal structure of Pm4BiPbSe2 (PBE, the Alexandria database).

Structure (POSCAR):
```
Pm4BiPbSe2
1.0
7.5757 0.0000 0.0000
0.0000 4.4034 0.0000
-2.5516 0.0000 7.1811
Pm Bi Pb Se
4 1 1 2
direct
0.2364 0.0000 0.2422
0.2376 0.5000 0.7485
0.7624 0.5000 0.2515
0.7636 0.0000 0.7578
0.5000 0.5000 0.5000
0.5000 0.0000 0.0000
0.0000 0.0000 0.5000
0.0000 0.5000 0.0000
```

Summary:
energy relative to the elements, uncorrected = -123 kJ/mol of atoms
ρ = 8.0 g cm⁻³



# PmSmBiPb

An optimized crystal structure of PmSmBiPb (PBE, the Alexandria database).

Structure (POSCAR):
```
PmSmBiPb
1.0
4.5524 0.0000 0.0000
0.0000 4.5589 0.0000
-0.0100 0.0000 6.4339
Pm Sm Bi Pb
1 1 1 1
direct
0.0000 0.0000 0.0000
0.5000 0.5000 0.5000
0.0000 0.0000 0.5000
0.5000 0.5000 0.0000
```

Summary:
energy of formation from the pure elements = -63.82 kJ/mol of atoms
ρ = 8.8 g cm⁻³



# PmSmBiPb

An optimized crystal structure of PmSmBiPb (PBE, the Alexandria database).

Structure (POSCAR):
```
PmSmBiPb
1.0
7.8942 0.0000 0.0000
0.0000 7.8942 0.0000
0.0000 0.0000 7.8942
Pm Sm Bi Pb
4 4 4 4
direct
0.0000 0.0000 0.0000
0.0000 0.5000 0.5000
0.5000 0.0000 0.5000
0.5000 0.5000 0.0000
0.0000 0.0000 0.5000
0.0000 0.5000 0.0000
0.5000 0.0000 0.0000
0.5000 0.5000 0.5000
0.2500 0.2500 0.2500
0.2500 0.7500 0.7500
0.7500 0.2500 0.7500
0.7500 0.7500 0.2500
0.2500 0.2500 0.7500
0.2500 0.7500 0.2500
0.7500 0.2500 0.2500
0.7500 0.7500 0.7500
```

Summary:
energy of formation from the pure elements = -49.68 kJ/mol of atoms
ρ = 9.6 g cm⁻³



# PmSnBiPb

An optimized crystal structure of PmSnBiPb (PBE, the Alexandria database).

Structure (POSCAR):
```
PmSnBiPb
1.0
7.8864 0.0000 0.0000
0.0000 7.8864 0.0000
0.0000 0.0000 7.8864
Pm Sn Bi Pb
4 4 4 4
direct
0.0000 0.0000 0.0000
0.0000 0.5000 0.5000
0.5000 0.0000 0.5000
0.5000 0.5000 0.0000
0.2500 0.2500 0.2500
0.2500 0.7500 0.7500
0.7500 0.2500 0.7500
0.7500 0.7500 0.2500
0.2500 0.2500 0.7500
0.2500 0.7500 0.2500
0.7500 0.2500 0.2500
0.7500 0.7500 0.7500
0.0000 0.0000 0.5000
0.0000 0.5000 0.0000
0.5000 0.0000 0.0000
0.5000 0.5000 0.5000
```

Summary:
energy of formation from the pure elements = -23.82 kJ/mol of atoms
ρ = 9.2 g cm⁻³



# TbPmBiPb

An optimized crystal structure of TbPmBiPb (PBE, the Alexandria database).

Structure (POSCAR):
```
TbPmBiPb
1.0
4.5203 0.0000 0.0000
0.0000 4.5295 0.0000
-0.0219 0.0000 6.3894
Tb Pm Bi Pb
1 1 1 1
direct
0.0000 0.0000 0.0000
0.5000 0.5000 0.5000
0.5000 0.5000 0.0000
0.0000 0.0000 0.5000
```

Summary:
energy of formation from the pure elements = -61.17 kJ/mol of atoms
ρ = 9.1 g cm⁻³



# TbPmBiPb

An optimized crystal structure of TbPmBiPb (PBE, the Alexandria database).

Structure (POSCAR):
```
TbPmBiPb
1.0
7.8489 0.0000 0.0000
0.0000 7.8489 0.0000
0.0000 0.0000 7.8489
Tb Pm Bi Pb
4 4 4 4
direct
0.0000 0.0000 0.0000
0.0000 0.5000 0.5000
0.5000 0.0000 0.5000
0.5000 0.5000 0.0000
0.0000 0.0000 0.5000
0.0000 0.5000 0.0000
0.5000 0.0000 0.0000
0.5000 0.5000 0.5000
0.2500 0.2500 0.2500
0.2500 0.7500 0.7500
0.7500 0.2500 0.7500
0.7500 0.7500 0.2500
0.2500 0.2500 0.7500
0.2500 0.7500 0.2500
0.7500 0.2500 0.2500
0.7500 0.7500 0.7500
```

Summary:
energy of formation from the pure elements = -47.57 kJ/mol of atoms
ρ = 9.9 g cm⁻³



# Pm6Bi2Te3Pb

An optimized crystal structure of Pm6Bi2Te3Pb (PBE, the Alexandria database).

Structure (POSCAR):
```
Pm6Bi2Te3Pb
1.0
9.8583 -2.2686 0.0000
9.8583 2.2686 0.0000
-2.0293 0.0000 8.8041
Pm Bi Te Pb
6 2 3 1
direct
0.9998 0.9998 0.2438
0.0002 0.0002 0.7562
0.3332 0.3332 0.4179
0.3363 0.3363 0.9175
0.6637 0.6637 0.0825
0.6668 0.6668 0.5821
0.1668 0.1668 0.3337
0.8332 0.8332 0.6663
0.1679 0.1679 0.8334
0.5000 0.5000 0.5000
0.8321 0.8321 0.1666
0.5000 0.5000 0.0000
```

Summary:
energy relative to the elements, uncorrected = -110 kJ/mol of atoms
ρ = 7.9 g cm⁻³



# Pm6Bi3Te2Pb

An optimized crystal structure of Pm6Bi3Te2Pb (PBE, the Alexandria database).

Structure (POSCAR):
```
Pm6Bi3Te2Pb
1.0
9.8857 -2.2731 0.0000
9.8857 2.2731 0.0000
-2.0721 0.0000 8.8500
Pm Bi Te Pb
6 3 2 1
direct
0.9998 0.9998 0.2461
0.0002 0.0002 0.7539
0.3344 0.3344 0.4149
0.3354 0.3354 0.9196
0.6646 0.6646 0.0804
0.6656 0.6656 0.5851
0.1681 0.1681 0.8329
0.5000 0.5000 0.5000
0.8319 0.8319 0.1671
0.1673 0.1673 0.3347
0.8327 0.8327 0.6653
0.5000 0.5000 0.0000
```

Summary:
energy relative to the elements, uncorrected = -102 kJ/mol of atoms
ρ = 8.2 g cm⁻³



- Which value of ρ does entry 7 give?
  7.9 g cm⁻³



- Among the records above, which one has the highest ρ?
  number 6



- Which formula does entry 4 have?
  PmSnBiPb



- Among the records above, which one has the lowest ρ?
  Pm6Bi2Te3Pb